# 1
Sc3CSO: relaxed, PBE.

Computed properties:
**SG**: No. 11
**Energy**: -7.9778 eV/atom

Geometry as POSCAR:
```
Sc3CSO
1.0
3.483 0.000 0.000
0.000 7.156 0.156
0.000 -1.743 7.575
O C S Sc
2 2 2 6
Direct
0.750 0.904 0.406 O
0.250 0.096 0.594 O
0.250 0.658 0.148 C
0.750 0.342 0.852 C
0.750 0.828 0.795 S
0.250 0.172 0.205 S
0.250 0.791 0.464 Sc
0.750 0.867 0.142 Sc
0.250 0.133 0.858 Sc
0.750 0.209 0.536 Sc
0.750 0.439 0.149 Sc
0.250 0.561 0.851 Sc
```



# 2
V2BTe: relaxed, PBE.

Computed properties:
**SG**: No. 122
**Energy**: -6.5477 eV/atom

Geometry as POSCAR:
```
V2BTe
1.0
-0.900 0.088 -5.018
0.999 -4.993 -0.267
-5.366 -3.587 -1.691
V B Te
4 2 2
Direct
0.243 0.625 0.250 V
0.875 0.757 0.750 V
0.507 0.125 0.250 V
0.375 0.493 0.750 V
0.500 0.500 0.000 B
0.250 0.750 0.500 B
0.750 0.250 0.500 Te
0.000 0.000 0.000 Te
```



# 3
KGe2P3O12: relaxed, PBE.

Computed properties:
**SG**: No. 148
**Energy**: -6.7975 eV/atom

Geometry as POSCAR:
```
KGe2P3O12
1.0
8.953 -0.001 -0.001
5.258 7.246 -0.001
5.258 2.681 6.732
Ge O P K
4 24 6 2
Direct
0.347 0.347 0.347 Ge
0.653 0.653 0.653 Ge
0.852 0.852 0.852 Ge
0.148 0.148 0.148 Ge
0.187 0.537 0.471 O
0.110 0.906 0.269 O
0.478 0.835 0.784 O
0.094 0.731 0.890 O
0.784 0.478 0.835 O
0.537 0.471 0.187 O
0.216 0.522 0.165 O
0.471 0.187 0.537 O
0.269 0.110 0.906 O
0.813 0.463 0.529 O
0.529 0.813 0.463 O
0.731 0.890 0.094 O
0.906 0.269 0.110 O
0.165 0.216 0.522 O
0.233 0.363 0.983 O
0.017 0.767 0.637 O
0.637 0.017 0.767 O
0.522 0.165 0.216 O
0.767 0.637 0.017 O
0.363 0.983 0.233 O
0.463 0.529 0.813 O
0.983 0.233 0.363 O
0.890 0.094 0.731 O
0.835 0.784 0.478 O
0.966 0.252 0.534 P
0.748 0.466 0.034 P
0.534 0.966 0.252 P
0.252 0.534 0.966 P
0.466 0.034 0.748 P
0.034 0.748 0.466 P
0.500 0.500 0.500 K
0.000 0.000 0.000 K
```



energy of number 3 (KGe2P3O12)?
-6.7975 eV/atom



energy of number 1 (Sc3CSO)?
-7.9778 eV/atom



What did the third record say?
KGe2P3O12: relaxed, PBE.

Computed properties:
**SG**: No. 148
**Energy**: -6.7975 eV/atom

Geometry as POSCAR:
```
KGe2P3O12
1.0
8.953 -0.001 -0.001
5.258 7.246 -0.001
5.258 2.681 6.732
Ge O P K
4 24 6 2
Direct
0.347 0.347 0.347 Ge
0.653 0.653 0.653 Ge
0.852 0.852 0.852 Ge
0.148 0.148 0.148 Ge
0.187 0.537 0.471 O
0.110 0.906 0.269 O
0.478 0.835 0.784 O
0.094 0.731 0.890 O
0.784 0.478 0.835 O
0.537 0.471 0.187 O
0.216 0.522 0.165 O
0.471 0.187 0.537 O
0.269 0.110 0.906 O
0.813 0.463 0.529 O
0.529 0.813 0.463 O
0.731 0.890 0.094 O
0.906 0.269 0.110 O
0.165 0.216 0.522 O
0.233 0.363 0.983 O
0.017 0.767 0.637 O
0.637 0.017 0.767 O
0.522 0.165 0.216 O
0.767 0.637 0.017 O
0.363 0.983 0.233 O
0.463 0.529 0.813 O
0.983 0.233 0.363 O
0.890 0.094 0.731 O
0.835 0.784 0.478 O
0.966 0.252 0.534 P
0.748 0.466 0.034 P
0.534 0.966 0.252 P
0.252 0.534 0.966 P
0.466 0.034 0.748 P
0.034 0.748 0.466 P
0.500 0.500 0.500 K
0.000 0.000 0.000 K
```